Entry 1:
Material: Pu2BiPd
Method: DFT, GGA-PBE
State: optimized geometry

E above lowest polymorph in meV per atom: 9
Spin magnetization in μB per formula unit: 11.5
Formation energy from the elements in eV/atom: -0.363
Total DFT energy (no corrections) in eV per cell: -39.2
Calculated volume in A^3/atom: 24.69
Space group: P4/mmm, No. 123

Cell lengths 4.045, 4.045, 6.037 Å; angles 90.00, 90.00, 90.00 degrees
Fractional coordinates of all 4 atoms:
Pu 0.000 0.000 0.239
Pu 0.000 0.000 0.761
Bi 0.500 0.500 0.500
Pd 0.500 0.500 0.000

Entry 2:
Material: Pu2Bi3Pd4
Method: DFT, GGA-PBE
State: optimized geometry

Spin magnetization in μB per formula unit: 11.6
Formation energy from the elements in eV/atom: -0.356
Total DFT energy (no corrections) in eV per cell: -128.6
Calculated volume in A^3/atom: 23.09
Space group: Cmce, No. 64

Cell lengths 9.026, 9.026, 7.598 Å; angles 90.00, 90.00, 137.83 degrees
Fractional coordinates of all 18 atoms:
Pu 0.090 0.910 0.903
Pu 0.410 0.590 0.403
Pu 0.590 0.410 0.597
Pu 0.910 0.090 0.097
Bi 0.000 0.000 0.500
Bi 0.006 0.494 0.750
Bi 0.494 0.006 0.250
Bi 0.500 0.500 0.000
Bi 0.506 0.994 0.750
Bi 0.994 0.506 0.250
Pd 0.165 0.835 0.512
Pd 0.176 0.324 0.750
Pd 0.324 0.176 0.250
Pd 0.335 0.665 0.012
Pd 0.665 0.335 0.988
Pd 0.676 0.824 0.750
Pd 0.824 0.676 0.250
Pd 0.835 0.165 0.488

Entry 3:
Material: PuBi2Pd2
Method: DFT, GGA-PBE
State: optimized geometry

E above lowest polymorph in meV per atom: 0
Spin magnetization in μB per formula unit: 5.4
Formation energy from the elements in eV/atom: -0.348
Total DFT energy (no corrections) in eV per cell: -68.4
Calculated volume in A^3/atom: 25.08
Space group: P2_1/m, No. 11

Cell lengths 5.065, 4.611, 10.994 Å; angles 90.00, 102.31, 90.00 degrees
Fractional coordinates of all 10 atoms:
Pu 0.126 0.250 0.295
Pu 0.874 0.750 0.705
Bi 0.258 0.750 0.024
Bi 0.374 0.250 0.639
Bi 0.626 0.750 0.361
Bi 0.742 0.250 0.976
Pd 0.176 0.250 0.857
Pd 0.179 0.750 0.504
Pd 0.821 0.250 0.496
Pd 0.824 0.750 0.143

Entry 4:
Material: PuBiPd
Method: DFT, GGA-PBE
State: optimized geometry

Spin magnetization in μB per formula unit: 5.6
Formation energy from the elements in eV/atom: -0.272
Total DFT energy (no corrections) in eV per cell: -24.2
Calculated volume in A^3/atom: 24.27
Space group: I4mm, No. 107

Cell lengths 6.231, 6.231, 6.231 Å; angles 146.66, 146.66, 47.87 degrees
Fractional coordinates of all 3 atoms:
Pu 0.000 0.000 0.000
Bi 0.298 0.298 0.000
Pd 0.645 0.645 0.000

Entry 5:
Material: Pu2Bi2Pd
Method: DFT, GGA-PBE
State: optimized geometry

Spin magnetization in μB per formula unit: 11.0
Formation energy from the elements in eV/atom: -0.387
Total DFT energy (no corrections) in eV per cell: -87.1
Calculated volume in A^3/atom: 26.77
Space group: Cmc2_1, No. 36

Cell lengths 8.863, 8.863, 6.313 Å; angles 90.00, 90.00, 147.33 degrees
Fractional coordinates of all 10 atoms:
Pu 0.000 0.000 0.000
Pu 0.000 0.000 0.500
Pu 0.213 0.787 0.755
Pu 0.787 0.213 0.255
Bi 0.170 0.830 0.254
Bi 0.413 0.587 0.248
Bi 0.587 0.413 0.748
Bi 0.830 0.170 0.754
Pd 0.416 0.584 0.747
Pd 0.584 0.416 0.247

Entry 6:
Material: PuBiPd
Method: DFT, GGA-PBE
State: optimized geometry

Spin magnetization in μB per formula unit: 5.8
Formation energy from the elements in eV/atom: -0.433
Total DFT energy (no corrections) in eV per cell: -24.7
Calculated volume in A^3/atom: 24.15
Space group: P-6m2, No. 187

Cell lengths 4.875, 4.875, 3.521 Å; angles 90.00, 90.00, 120.00 degrees
Fractional coordinates of all 3 atoms:
Pu 0.000 0.000 0.000
Bi 0.667 0.333 0.500
Pd 0.333 0.667 0.500

Entry 7:
Material: Pu2BiPd2
Method: DFT, GGA-PBE
State: optimized geometry

E above lowest polymorph in meV per atom: 0
Spin magnetization in μB per formula unit: 10.9
Formation energy from the elements in eV/atom: -0.496
Total DFT energy (no corrections) in eV per cell: -90.8
Calculated volume in A^3/atom: 23.50
Space group: P4/mbm, No. 127

Cell lengths 7.739, 7.739, 3.923 Å; angles 90.00, 90.00, 90.00 degrees
Fractional coordinates of all 10 atoms:
Pu 0.176 0.324 0.000
Pu 0.324 0.824 0.000
Pu 0.676 0.176 0.000
Pu 0.824 0.676 0.000
Bi 0.000 0.000 0.500
Bi 0.500 0.500 0.500
Pd 0.125 0.625 0.500
Pd 0.375 0.125 0.500
Pd 0.625 0.875 0.500
Pd 0.875 0.375 0.500

Entry 8:
Material: PuBi2Pd9
Method: DFT, GGA-PBE
State: optimized geometry

Spin magnetization in μB per formula unit: 4.8
Formation energy from the elements in eV/atom: -0.342
Total DFT energy (no corrections) in eV per cell: -72.9
Calculated volume in A^3/atom: 17.78
Space group: P4/mmm, No. 123

Cell lengths 4.150, 4.150, 12.390 Å; angles 90.00, 90.00, 90.00 degrees
Fractional coordinates of all 12 atoms:
Pu 0.000 0.000 0.000
Bi 0.000 0.000 0.333
Bi 0.000 0.000 0.667
Pd 0.000 0.500 0.166
Pd 0.000 0.500 0.500
Pd 0.000 0.500 0.834
Pd 0.500 0.000 0.166
Pd 0.500 0.000 0.500
Pd 0.500 0.000 0.834
Pd 0.500 0.500 0.000
Pd 0.500 0.500 0.336
Pd 0.500 0.500 0.664

Entry 9:
Material: Pu2BiPd
Method: DFT, GGA-PBE
State: optimized geometry

E above lowest polymorph in meV per atom: 156
Spin magnetization in μB per formula unit: 11.6
Formation energy from the elements in eV/atom: -0.215
Total DFT energy (no corrections) in eV per cell: -38.6
Calculated volume in A^3/atom: 29.14
Space group: P-3m1, No. 164

Cell lengths 4.574, 4.574, 6.432 Å; angles 90.00, 90.00, 120.00 degrees
Fractional coordinates of all 4 atoms:
Pu 0.333 0.667 0.210
Pu 0.667 0.333 0.790
Bi 0.000 0.000 0.500
Pd 0.000 0.000 0.000

Entry 10:
Material: PuBi2Pd2
Method: DFT, GGA-PBE
State: optimized geometry

E above lowest polymorph in meV per atom: 4
Spin magnetization in μB per formula unit: 5.4
Formation energy from the elements in eV/atom: -0.343
Total DFT energy (no corrections) in eV per cell: -68.4
Calculated volume in A^3/atom: 24.84
Space group: P2_1/m, No. 11

Cell lengths 4.830, 4.814, 10.683 Å; angles 90.00, 90.13, 90.00 degrees
Fractional coordinates of all 10 atoms:
Pu 0.248 0.250 0.326
Pu 0.752 0.750 0.674
Bi 0.250 0.250 0.995
Bi 0.251 0.250 0.667
Bi 0.749 0.750 0.333
Bi 0.750 0.750 0.005
Pd 0.250 0.750 0.158
Pd 0.252 0.750 0.516
Pd 0.748 0.250 0.484
Pd 0.750 0.250 0.842

Entry 11:
Material: PuBi6Pd12
Method: DFT, GGA-PBE
State: optimized geometry

Spin magnetization in μB per formula unit: 5.3
Formation energy from the elements in eV/atom: -0.160
Total DFT energy (no corrections) in eV per cell: -103.0
Calculated volume in A^3/atom: 21.89
Space group: R-3m, No. 166

Cell lengths 7.755, 7.755, 7.755 Å; angles 104.03, 104.03, 104.03 degrees
Fractional coordinates of all 19 atoms:
Pu 0.000 0.000 0.000
Bi 0.264 0.264 0.670
Bi 0.264 0.670 0.264
Bi 0.330 0.736 0.736
Bi 0.670 0.264 0.264
Bi 0.736 0.330 0.736
Bi 0.736 0.736 0.330
Pd 0.096 0.329 0.329
Pd 0.119 0.500 0.881
Pd 0.119 0.881 0.500
Pd 0.329 0.096 0.329
Pd 0.329 0.329 0.096
Pd 0.500 0.119 0.881
Pd 0.500 0.881 0.119
Pd 0.671 0.671 0.904
Pd 0.671 0.904 0.671
Pd 0.881 0.119 0.500
Pd 0.881 0.500 0.119
Pd 0.904 0.671 0.671

Entry 12:
Material: Pu2BiPd9
Method: DFT, GGA-PBE
State: optimized geometry

Spin magnetization in μB per formula unit: 9.5
Formation energy from the elements in eV/atom: -0.448
Total DFT energy (no corrections) in eV per cell: -84.7
Calculated volume in A^3/atom: 17.83
Space group: P4/mmm, No. 123

Cell lengths 4.155, 4.155, 12.397 Å; angles 90.00, 90.00, 90.00 degrees
Fractional coordinates of all 12 atoms:
Pu 0.000 0.000 0.166
Pu 0.000 0.000 0.834
Bi 0.000 0.000 0.500
Pd 0.000 0.500 0.000
Pd 0.000 0.500 0.332
Pd 0.000 0.500 0.668
Pd 0.500 0.000 0.000
Pd 0.500 0.000 0.332
Pd 0.500 0.000 0.668
Pd 0.500 0.500 0.169
Pd 0.500 0.500 0.500
Pd 0.500 0.500 0.831